Density functional theory data (GGA-PBE) for a relaxed MgMnSe2 crystal.

Cell and atoms, written as CIF:
```
data_MgMnSe2
_symmetry_space_group_name_H-M 'P m m m'
_symmetry_Int_Tables_number 47
_cell_length_a 3.6152
_cell_length_b 3.7249
_cell_length_c 7.3421
_cell_angle_alpha 90.00
_cell_angle_beta 90.00
_cell_angle_gamma 90.00
loop_
_symmetry_equiv_pos_as_xyz
'x,y,z'
'-x,-y,-z'
'-x,-y,z'
'x,y,-z'
'x,-y,-z'
'-x,y,z'
'-x,y,-z'
'x,-y,z'
loop_
_atom_site_label
_atom_site_type_symbol
_atom_site_fract_x
_atom_site_fract_y
_atom_site_fract_z
Mg1 Mg 0.0000 0.0000 0.0000
Mn1 Mn 0.0000 0.5000 0.5000
Se1 Se 0.5000 0.0000 0.5000
Se2 Se 0.5000 0.5000 0.0000
```

Output
- size of the total moment (μB/cell) = 4.73
- density (g cm⁻³) = 3.98
- E_tot (eV per atom) = -4.914

***

Density functional theory data (GGA-PBE) for a relaxed K4Pu3SnO12 crystal.

Cell and atoms, written as CIF:
```
data_K4Pu3SnO12
_symmetry_space_group_name_H-M 'I m -3 m'
_symmetry_Int_Tables_number 229
_symmetry_space_group_name_Hall '-I 4 2 3'
_cell_length_a 8.4692
_cell_length_b 8.4692
_cell_length_c 8.4692
_cell_angle_alpha 90.00
_cell_angle_beta 90.00
_cell_angle_gamma 90.00
loop_
_atom_site_label
_atom_site_type_symbol
_atom_site_fract_x
_atom_site_fract_y
_atom_site_fract_z
K1 K 0.2500 0.2500 0.2500
Pu1 Pu 0.0000 0.0000 0.5000
Sn1 Sn 0.0000 0.0000 0.0000
O1 O 0.0000 0.0000 0.2522
O2 O 0.0000 0.2500 0.5000
```

Output
- size of the total moment (μB/cell) = 16.00
- density (g cm⁻³) = 6.56
- E_tot (eV per atom) = -7.872

***

Density functional theory data (GGA-PBE) for a relaxed Nd3Y6Er2Sc crystal.

Cell and atoms, written as CIF:
```
data_Nd3Y6Er2Sc
_symmetry_space_group_name_H-M 'C 1 2/m 1'
_symmetry_Int_Tables_number 12
_cell_length_a 6.1840
_cell_length_b 10.7055
_cell_length_c 11.7819
_cell_angle_alpha 90.00
_cell_angle_beta 100.06
_cell_angle_gamma 90.00
loop_
_symmetry_equiv_pos_as_xyz
'x,y,z'
'-x,-y,-z'
'-x,y,-z'
'x,-y,z'
'x+1/2,y+1/2,z'
'-x+1/2,-y+1/2,-z'
'-x+1/2,y+1/2,-z'
'x+1/2,-y+1/2,z'
loop_
_atom_site_label
_atom_site_type_symbol
_atom_site_fract_x
_atom_site_fract_y
_atom_site_fract_z
Nd1 Nd 0.0000 0.0000 0.0000
Nd2 Nd 0.0000 0.3335 0.0000
Y1 Y 0.2458 0.3345 0.7433
Y2 Y 0.2495 0.0000 0.7434
Er1 Er 0.0000 0.1665 0.5000
Sc1 Sc 0.0000 0.5000 0.5000
```

Output
- size of the total moment (μB/cell) = 0.00
- energy of formation (eV per atom) = 0.0326
- density (g cm⁻³) = 5.82

***

Density functional theory data (GGA-PBE) for a relaxed InGaAgSn crystal.

Cell and atoms, written as CIF:
```
data_InGaAgSn
_symmetry_space_group_name_H-M 'F -4 3 m'
_symmetry_Int_Tables_number 216
_symmetry_space_group_name_Hall 'F -4 2 3'
_cell_length_a 7.1499
_cell_length_b 7.1499
_cell_length_c 7.1499
_cell_angle_alpha 90.00
_cell_angle_beta 90.00
_cell_angle_gamma 90.00
loop_
_atom_site_label
_atom_site_type_symbol
_atom_site_fract_x
_atom_site_fract_y
_atom_site_fract_z
In1 In 0.0000 0.0000 0.0000
Ga1 Ga 0.2500 0.2500 0.7500
Ag1 Ag 0.2500 0.2500 0.2500
Sn1 Sn 0.0000 0.0000 0.5000
```

Output
- size of the total moment (μB/cell) = 0.00
- energy of formation (eV per atom) = 0.0997
- density (g cm⁻³) = 7.47

***

Density functional theory data (GGA-PBE) for a relaxed Sm3Dy2Er6Sc crystal.

Cell and atoms, written as CIF:
```
data_Sm3Dy2Er6Sc
_symmetry_space_group_name_H-M 'C 1 2/m 1'
_symmetry_Int_Tables_number 12
_cell_length_a 6.1078
_cell_length_b 10.5697
_cell_length_c 11.6583
_cell_angle_alpha 90.00
_cell_angle_beta 100.03
_cell_angle_gamma 90.00
loop_
_symmetry_equiv_pos_as_xyz
'x,y,z'
'-x,-y,-z'
'-x,y,-z'
'x,-y,z'
'x+1/2,y+1/2,z'
'-x+1/2,-y+1/2,-z'
'-x+1/2,y+1/2,-z'
'x+1/2,-y+1/2,z'
loop_
_atom_site_label
_atom_site_type_symbol
_atom_site_fract_x
_atom_site_fract_y
_atom_site_fract_z
Sm1 Sm 0.0000 0.0000 0.0000
Sm2 Sm 0.0000 0.3335 0.0000
Dy1 Dy 0.0000 0.1664 0.5000
Er1 Er 0.2468 0.3345 0.7454
Er2 Er 0.2503 0.0000 0.7456
Sc1 Sc 0.0000 0.5000 0.5000
```

Output
- size of the total moment (μB/cell) = 0.00
- energy of formation (eV per atom) = 0.0288
- density (g cm⁻³) = 8.18

***

Density functional theory data (GGA-PBE) for a relaxed BI2F crystal.

Cell and atoms, written as CIF:
```
data_BI2F
_symmetry_space_group_name_H-M 'I -4 2 d'
_symmetry_Int_Tables_number 122
_symmetry_space_group_name_Hall 'I -4 2bw'
_cell_length_a 6.5815
_cell_length_b 6.5815
_cell_length_c 8.1418
_cell_angle_alpha 90.00
_cell_angle_beta 90.00
_cell_angle_gamma 90.00
loop_
_atom_site_label
_atom_site_type_symbol
_atom_site_fract_x
_atom_site_fract_y
_atom_site_fract_z
B1 B 0.0000 0.0000 0.0000
I1 I 0.1872 0.7500 0.1250
F1 F 0.0000 0.0000 0.5000
```

Output
- size of the total moment (μB/cell) = 0.00
- density (g cm⁻³) = 5.34
- E_tot (eV per atom) = -2.934

***

Density functional theory data (GGA-PBE) for a relaxed LiReBiP2 crystal.

Cell and atoms, written as CIF:
```
data_LiReBiP2
_symmetry_space_group_name_H-M 'P 4/m m m'
_symmetry_Int_Tables_number 123
_symmetry_space_group_name_Hall '-P 4 2'
_cell_length_a 4.3459
_cell_length_b 4.3459
_cell_length_c 4.8858
_cell_angle_alpha 90.00
_cell_angle_beta 90.00
_cell_angle_gamma 90.00
loop_
_atom_site_label
_atom_site_type_symbol
_atom_site_fract_x
_atom_site_fract_y
_atom_site_fract_z
Li1 Li 0.0000 0.0000 0.0000
Re1 Re 0.5000 0.5000 0.5000
Bi1 Bi 0.0000 0.0000 0.5000
P1 P 0.0000 0.5000 0.0000
```

Output
- size of the total moment (μB/cell) = 1.82
- energy of formation (eV per atom) = 1.3178
- density (g cm⁻³) = 8.35

***

Density functional theory data (GGA-PBE) for a relaxed HfUGa crystal.

Cell and atoms, written as CIF:
```
data_HfUGa
_symmetry_space_group_name_H-M 'I m m m'
_symmetry_Int_Tables_number 71
_symmetry_space_group_name_Hall '-I 2 2'
_cell_length_a 4.7895
_cell_length_b 6.2578
_cell_length_c 8.3962
_cell_angle_alpha 90.00
_cell_angle_beta 90.00
_cell_angle_gamma 90.00
loop_
_atom_site_label
_atom_site_type_symbol
_atom_site_fract_x
_atom_site_fract_y
_atom_site_fract_z
Hf1 Hf 0.0000 0.2413 0.0000
U1 U 0.0000 0.0000 0.3555
Ga1 Ga 0.0000 0.5000 0.3430
```

Output
- size of the total moment (μB/cell) = 0.00
- energy of formation (eV per atom) = -0.0243
- density (g cm⁻³) = 12.83

***

Density functional theory data (GGA-PBE) for a relaxed Rb3GaAu4 crystal.

Cell and atoms, written as CIF:
```
data_Rb3GaAu4
_symmetry_space_group_name_H-M 'I m m 2'
_symmetry_Int_Tables_number 44
_cell_length_a 6.8012
_cell_length_b 7.6128
_cell_length_c 9.4925
_cell_angle_alpha 90.00
_cell_angle_beta 90.00
_cell_angle_gamma 90.00
loop_
_symmetry_equiv_pos_as_xyz
'x,y,z'
'-x,-y,z'
'-x,y,z'
'x,-y,z'
'x+1/2,y+1/2,z+1/2'
'-x+1/2,-y+1/2,z+1/2'
'-x+1/2,y+1/2,z+1/2'
'x+1/2,-y+1/2,z+1/2'
loop_
_atom_site_label
_atom_site_type_symbol
_atom_site_fract_x
_atom_site_fract_y
_atom_site_fract_z
Rb1 Rb 0.0000 0.0000 0.0000
Rb2 Rb 0.0000 0.2493 0.3512
Ga1 Ga 0.0000 0.5000 0.9606
Au1 Au 0.0000 0.3110 0.7280
Au2 Au 0.2041 0.0000 0.6242
```

Output
- size of the total moment (μB/cell) = 0.00
- energy of formation (eV per atom) = -0.2863
- density (g cm⁻³) = 7.53

***

Density functional theory data (GGA-PBE) for a relaxed La2Au5F21 crystal.

Cell and atoms, written as CIF:
```
data_La2Au5F21
_symmetry_space_group_name_H-M 'P 41 21 2'
_symmetry_Int_Tables_number 92
_cell_length_a 8.5165
_cell_length_b 8.5165
_cell_length_c 26.6289
_cell_angle_alpha 90.00
_cell_angle_beta 90.00
_cell_angle_gamma 90.00
loop_
_symmetry_equiv_pos_as_xyz
'x,y,z'
'-y+1/2,x+1/2,z+1/4'
'-x,-y,z+1/2'
'y+1/2,-x+1/2,z+3/4'
'x+1/2,-y+1/2,-z+3/4'
'-y,-x,-z+1/2'
'-x+1/2,y+1/2,-z+1/4'
'y,x,-z'
loop_
_atom_site_label
_atom_site_type_symbol
_atom_site_fract_x
_atom_site_fract_y
_atom_site_fract_z
La1 La 0.0480 0.4259 0.4983
Au1 Au 0.0682 0.0682 0.0000
Au2 Au 0.1029 0.1462 0.8462
Au3 Au 0.1784 0.1980 0.6393
F1 F 0.0187 0.8465 0.6060
F2 F 0.0432 0.3099 0.7972
F3 F 0.0537 0.3121 0.6899
F4 F 0.0635 0.3088 0.5863
F5 F 0.0636 0.7866 0.3905
F6 F 0.0678 0.2985 0.9983
F7 F 0.0721 0.8368 0.9998
F8 F 0.0750 0.2715 0.2002
F9 F 0.0765 0.2974 0.4107
F10 F 0.0844 0.2856 0.3062
F11 F 0.2316 0.7684 0.7500
```

Output
- size of the total moment (μB/cell) = 0.00
- density (g cm⁻³) = 5.71
- E_tot (eV per atom) = -4.280

***

Density functional theory data (GGA-PBE) for a relaxed KPt crystal.

Cell and atoms, written as CIF:
```
data_KPt
_symmetry_space_group_name_H-M 'P -3 m 1'
_symmetry_Int_Tables_number 164
_symmetry_space_group_name_Hall '-P 3 2"'
_cell_length_a 3.2545
_cell_length_b 3.2545
_cell_length_c 11.4733
_cell_angle_alpha 90.00
_cell_angle_beta 90.00
_cell_angle_gamma 120.00
loop_
_atom_site_label
_atom_site_type_symbol
_atom_site_fract_x
_atom_site_fract_y
_atom_site_fract_z
K1 K 0.3333 0.6667 0.3091
Pt1 Pt 0.3333 0.6667 0.9159
```

Output
- size of the total moment (μB/cell) = 0.00
- energy of formation (eV per atom) = 0.5450
- density (g cm⁻³) = 7.39

***

Density functional theory data (GGA-PBE) for a relaxed KAlBrCl2 crystal.

Cell and atoms, written as CIF:
```
data_KAlBrCl2
_symmetry_space_group_name_H-M 'P 4/m m m'
_symmetry_Int_Tables_number 123
_symmetry_space_group_name_Hall '-P 4 2'
_cell_length_a 5.0703
_cell_length_b 5.0703
_cell_length_c 5.4136
_cell_angle_alpha 90.00
_cell_angle_beta 90.00
_cell_angle_gamma 90.00
loop_
_atom_site_label
_atom_site_type_symbol
_atom_site_fract_x
_atom_site_fract_y
_atom_site_fract_z
K1 K 0.0000 0.0000 0.0000
Al1 Al 0.5000 0.5000 0.5000
Br1 Br 0.5000 0.5000 0.0000
Cl1 Cl 0.0000 0.5000 0.5000
```

Output
- size of the total moment (μB/cell) = 0.00
- density (g cm⁻³) = 2.59
- E_tot (eV per atom) = -3.333

***

Q: size of the total moment of number 12 (KAlBrCl2)?
A: 0.00 μB/cell

***

Q: What is the formula in the fifth record?
A: Sm3Dy2Er6Sc

***

Q: The highest size of the total moment belongs to which entry?
A: K4Pu3SnO12

***

Q: Number 9 is which compound?
A: Rb3GaAu4